The following is a DFT calculation (PBE) of an optimized crystal structure of Y2HoEr. Values from VASP.

Calculated values
ΔE to the lowest computed polymorph = 0.136 eV/atom
DFT formation energy = 0.137 eV/atom

The structure in Quantum ESPRESSO input format:
```
&SYSTEM
  ibrav = 0, nat = 4, ntyp = 3
/
ATOMIC_SPECIES
Y 88.91 Y.upf
Er 167.26 Er.upf
Ho 164.93 Ho.upf
ATOMIC_POSITIONS crystal
Y 0.750 0.750 0.750
Y 0.250 0.250 0.250
Er 0.500 0.500 0.500
Ho 0.000 0.000 0.000
CELL_PARAMETERS angstrom
5.662 0.000 0.000
2.831 4.904 0.000
2.831 1.635 4.623
```

***

The following is a DFT calculation (PBE) of an optimized crystal structure of VGaSN2. Values from VASP.

Calculated values
ΔE to the lowest computed polymorph = 0.000 eV/atom
E_form (uncorrected) = 181 meV/atom

The structure in Quantum ESPRESSO input format:
```
&SYSTEM
  ibrav = 0, nat = 5, ntyp = 4
/
ATOMIC_SPECIES
Ga 69.72 Ga.upf
N 14.01 N.upf
S 32.06 S.upf
V 50.94 V.upf
ATOMIC_POSITIONS crystal
Ga 0.500 0.500 0.500
N 0.000 0.500 0.000
N 0.500 0.000 0.000
S 0.000 0.000 0.500
V 0.000 0.000 0.000
CELL_PARAMETERS angstrom
-3.212 0.006 1.909
0.799 -3.389 1.355
2.358 2.138 3.958
```